Here is a relaxed structure of Tb6Nd5Mg from the Alexandria database. Energies are from PBE.

## Properties
The density of states at the Fermi level is 16.5 states/eV/cell. As for the energy relative to the elements: 0.020 eV per atom.

Cell and atoms, written as POSCAR:
```
Tb6Nd5Mg
1.0
-1.2651 -4.7934 1.1616
9.4647 0.1283 -0.3110
-2.4921 5.1828 7.5246
Nd Tb Mg
5 6 1
direct
0.5000 0.8333 0.1667
0.5000 0.1667 0.8333
0.0000 0.6662 0.3338
0.0000 0.3338 0.6662
0.5000 0.5000 0.5000
0.7522 0.5863 0.9183
0.7499 0.2497 0.2497
0.2478 0.0817 0.4137
0.7522 0.9183 0.5863
0.2501 0.7503 0.7503
0.2478 0.4137 0.0817
0.0000 0.0000 0.0000
```



Here is a relaxed structure of TbNd2Mg from the Alexandria database. Energies are from PBE.

## Properties
The density of states at the Fermi level is 5.2 states/eV/cell. As for the energy relative to the elements: 0.028 eV per atom.

Cell and atoms, written as POSCAR:
```
TbNd2Mg
1.0
5.6221 0.0000 0.0000
2.8111 4.8689 0.0000
2.8111 1.6230 4.5904
Mg Nd Tb
1 2 1
direct
0.0000 0.0000 0.0000
0.7500 0.7500 0.7500
0.2500 0.2500 0.2500
0.5000 0.5000 0.5000
```



Going through the records in order, we get calculated total energy values of -52.981 -15.648 eV per cell.